Record 1
PBE YHf2Al2, optimized geometry; E_form = -273 meV/atom; VASP energy = -70.4 eV/cell; crystal system = tetragonal; size of the total moment = 0.00 μB/f.u.; energy relative to the lowest polymorph listed for this composition = 0.000 eV per atom
1.0
7.975 0.000 0.000
0.000 7.975 0.000
0.000 0.000 3.369
Al Y Hf
4 2 4
Cartesian
4.933 0.945 0.000 Al
0.945 3.042 0.000 Al
7.030 4.933 0.000 Al
3.042 7.030 0.000 Al
3.987 3.987 0.000 Y
0.000 0.000 0.000 Y
2.580 1.407 1.685 Hf
1.407 5.394 1.685 Hf
5.394 6.568 1.685 Hf
6.568 2.580 1.685 Hf

=====

Record 2
PBE Re2Tc2Rh7, optimized geometry; E_form = 107 meV/atom; VASP energy = -95.9 eV/cell; crystal system = monoclinic; size of the total moment = 0.00 μB/f.u.
1.0
8.770 -0.431 -0.621
-1.080 4.677 -0.293
-1.080 -1.917 4.276
Tc Rh Re
2 7 2
Cartesian
1.360 1.521 2.195 Tc
5.250 0.808 1.167 Tc
-0.337 3.480 1.928 Rh
-0.337 0.583 3.936 Rh
2.789 0.257 0.371 Rh
6.948 -1.151 1.434 Rh
0.000 0.000 0.000 Rh
3.821 2.073 2.991 Rh
6.948 1.747 -0.574 Rh
3.305 2.910 0.472 Re
3.305 -0.580 2.890 Re

=====

Record 3
PBE Nd2AsCl2, optimized geometry; VASP energy = -27.4 eV/cell; crystal system = trigonal; size of the total moment = 0.00 μB/f.u.
1.0
-3.032 -0.767 -2.780
0.977 -0.884 -3.972
-0.289 -10.505 0.063
Nd As Cl
2 1 2
Cartesian
-1.039 -9.429 -2.565 Nd
-1.306 -2.726 -4.123 Nd
0.000 0.000 0.000 As
-1.788 -8.381 -5.187 Cl
-0.557 -3.774 -1.501 Cl

=====

Record 4
PBE LaFeRu2, optimized geometry; E_form = 360 meV/atom; VASP energy = -30.5 eV/cell; crystal system = orthorhombic; size of the total moment = 2.83 μB/f.u.; energy relative to the lowest polymorph listed for this composition = 0.278 eV per atom
1.0
5.377 -0.356 -0.014
2.554 4.745 0.014
-3.333 -3.338 2.606
Fe La Ru
1 1 2
Cartesian
3.005 -0.750 1.296 Fe
1.593 1.801 1.310 La
4.196 2.322 0.000 Ru
7.701 4.262 0.000 Ru

=====

Record 5
PBE CaCd2F, optimized geometry; VASP energy = -20.6 eV/cell; crystal system = tetragonal; size of the total moment = 0.00 μB/f.u.; energy relative to the lowest polymorph listed for this composition = 0.000 eV per atom
1.0
-3.601 9.358 -2.175
-6.177 -0.476 8.178
-3.337 5.323 4.225
F Cd Ca
2 4 2
Cartesian
-7.202 4.644 7.702 F
-4.889 4.441 3.001 F
-6.756 7.278 6.195 Cd
-10.473 11.809 7.646 Cd
-3.516 6.232 0.925 Cd
-5.487 3.090 5.690 Cd
0.000 0.000 0.000 Ca
-5.914 9.561 2.526 Ca

=====

Record 6
PBE K3Er2BiTe6, optimized geometry; VASP energy = -48.7 eV/cell; crystal system = monoclinic; size of the total moment = 0.00 μB/f.u.
1.0
7.825 -0.001 0.000
-3.912 6.777 0.000
-1.305 -2.259 8.245
K Te Er Bi
3 6 2 1
Cartesian
5.249 -0.020 4.123 K
1.304 2.258 4.123 K
-2.641 4.537 4.123 K
2.663 -0.001 1.715 Te
3.940 2.211 6.530 Te
0.028 0.048 6.537 Te
-1.332 2.306 1.715 Te
2.581 4.469 1.708 Te
-0.055 4.518 6.530 Te
-0.003 4.520 0.000 Er
3.917 2.256 0.000 Er
0.000 0.000 0.000 Bi

=====

Record 7
PBE La3Mg4Zn4, optimized geometry; E_form = -219 meV/atom; VASP energy = -28.7 eV/cell; crystal system = orthorhombic; size of the total moment = 0.00 μB/f.u.
1.0
-3.492 -0.303 2.907
0.051 -7.824 -0.755
6.519 3.544 4.635
La Mg Zn
3 4 4
Cartesian
2.009 -4.467 5.514 La
0.026 -3.912 -0.378 La
1.070 -0.116 1.273 La
3.104 1.157 3.850 Mg
-0.026 -5.740 2.937 Mg
-0.045 -2.752 3.225 Mg
3.124 -1.831 3.562 Mg
0.872 -0.435 4.569 Zn
2.207 -4.148 2.218 Zn
-1.705 -6.473 0.843 Zn
-1.736 -1.654 1.308 Zn

=====

Record 8
PBE Be2ReAu, optimized geometry; E_form = 70 meV/atom; VASP energy = -22.9 eV/cell; crystal system = monoclinic; size of the total moment = 0.00 μB/f.u.; energy relative to the lowest polymorph listed for this composition = 0.074 eV per atom
1.0
-0.379 3.309 1.398
-2.496 -0.634 0.824
1.930 -1.708 4.566
Be Au Re
2 1 1
Cartesian
-1.774 -0.568 0.863 Be
-1.006 -1.237 2.656 Be
-0.614 -0.102 4.742 Au
-0.331 1.069 2.047 Re